The following is a PBE calculation of a geometry-optimized Pd2Cl3F structure, from Alexandria via LeMat-Bulk.

a = 7.0000 Å, b = 12.4044 Å, c = 9.2293 Å
α = 90.00°, β = 126.38°, γ = 90.00°
Fractional coordinates of all 24 atoms:
F1 0.1689 0.2479 0.4490
F2 0.8311 0.7521 0.5510
F3 0.6689 0.2521 0.9490
F4 0.3311 0.7479 0.0510
Pd1 0.9592 0.3677 0.4390
Pd2 0.5408 0.8677 0.0610
Pd3 0.0408 0.6323 0.5610
Pd4 0.0960 0.7521 0.1150
Pd5 0.5960 0.7479 0.6150
Pd6 0.4040 0.2521 0.3850
Pd7 0.4592 0.1323 0.9390
Pd8 0.9040 0.2479 0.8850
Cl1 0.8548 0.6413 0.8656
Cl2 0.1452 0.3587 0.1344
Cl3 0.6452 0.1413 0.6344
Cl4 0.3548 0.8587 0.3656
Cl5 0.6572 0.2413 0.3067
Cl6 0.1572 0.2587 0.8067
Cl7 0.2656 0.4958 0.5624
Cl8 0.8428 0.7413 0.1933
Cl9 0.7656 0.0042 0.0624
Cl10 0.7344 0.5042 0.4376
Cl11 0.2344 0.9958 0.9376
Cl12 0.3428 0.7587 0.6933

Computed properties:
The value obtained for the total magnetization is 0.00 μB per cell. The value obtained for the energy relative to the lowest polymorph listed for this composition is 0.00 eV/f.u.

=====

The following is a PBE calculation of a geometry-optimized Al2TcW structure, from Alexandria via LeMat-Bulk.

a = 4.2352 Å, b = 2.7503 Å, c = 5.2477 Å
α = 78.76°, β = 90.00°, γ = 90.00°
Fractional coordinates of all 4 atoms:
Tc1 0.5000 0.2500 0.2500
W1 0.5000 0.7500 0.7500
Al1 0.0000 0.0391 0.0041
Al2 0.0000 0.4609 0.4959

Computed properties:
For the formation enthalpy at 0 K, the calculation gives -0.091 eV per atom. The value obtained for the total magnetization is 0.00 μB per cell. The value obtained for the energy relative to the lowest polymorph listed for this composition is 0.88 eV/f.u.

=====

The following is a PBE calculation of a geometry-optimized NaCa4Rh structure, from Alexandria via LeMat-Bulk.

a = 6.4761 Å, b = 8.3642 Å, c = 8.3642 Å
α = 109.13°, β = 100.47°, γ = 100.47°
Fractional coordinates of all 12 atoms:
Rh1 0.2500 0.0001 0.9999
Rh2 0.7500 0.9999 0.0001
Na1 0.2500 0.3822 0.6178
Na2 0.7500 0.6178 0.3822
Ca1 0.4465 0.7345 0.0615
Ca2 0.5535 0.2655 0.9385
Ca3 0.9465 0.0615 0.7345
Ca4 0.6204 0.1738 0.3357
Ca5 0.1204 0.3357 0.1738
Ca6 0.3796 0.8262 0.6643
Ca7 0.8796 0.6643 0.8262
Ca8 0.0535 0.9385 0.2655

Computed properties:
For the formation enthalpy at 0 K, the calculation gives -0.193 eV per atom. The value obtained for the total magnetization is 0.00 μB per cell.

=====

The following is a PBE calculation of a geometry-optimized NaPa4PbN8 structure, from Alexandria via LeMat-Bulk.

a = 7.1653 Å, b = 7.1653 Å, c = 6.6774 Å
α = 57.55°, β = 57.55°, γ = 60.00°
Fractional coordinates of all 14 atoms:
Pa1 0.9985 0.9985 0.5036
Pa2 0.4995 0.9985 0.5036
Pa3 0.5994 0.5994 0.2018
Pa4 0.9985 0.4994 0.5036
N1 0.7463 0.7463 0.2808
N2 0.7955 0.2611 0.6823
N3 0.7520 0.7520 0.7439
N4 0.7463 0.2266 0.2808
N5 0.2266 0.7463 0.2808
N6 0.2329 0.2329 0.3012
N7 0.2611 0.2611 0.6823
N8 0.2611 0.7955 0.6823
Pb1 0.3809 0.3809 0.8574
Na1 0.0015 0.0015 0.9956

Computed properties:
Its energy is -8.872 eV per atom. The value obtained for the total magnetization is 0.00 μB per cell.

=====

The following is a PBE calculation of a geometry-optimized Nd2InF structure, from Alexandria via LeMat-Bulk.

a = 3.3764 Å, b = 3.3764 Å, c = 8.1964 Å
α = 90.00°, β = 90.00°, γ = 90.00°
Fractional coordinates of all 4 atoms:
F1 0.5000 0.5000 0.0000
Nd1 0.0000 0.0000 0.2276
Nd2 0.0000 0.0000 0.7724
In1 0.5000 0.5000 0.5000

Computed properties:
The value obtained for the total magnetization is 0.00 μB per cell. The value obtained for the energy relative to the lowest polymorph listed for this composition is 0.69 eV/f.u.

=====

The following is a PBE calculation of a geometry-optimized TbPr2SmSe4 structure, from Alexandria via LeMat-Bulk.

a = 4.1383 Å, b = 7.3840 Å, c = 7.2446 Å
α = 71.27°, β = 90.00°, γ = 90.00°
Fractional coordinates of all 8 atoms:
Se1 0.0000 0.7391 0.7503
Se2 0.5000 0.7367 0.2579
Se3 0.5000 0.2633 0.7421
Se4 0.0000 0.2609 0.2497
Sm1 0.5000 0.5000 0.0000
Pr1 0.5000 0.0000 0.5000
Pr2 0.0000 0.0000 0.0000
Tb1 0.0000 0.5000 0.5000

Computed properties:
Its energy is -5.926 eV per atom. The value obtained for the total magnetization is 0.00 μB per cell.

=====

Copy entry 3 word for word.
The following is a PBE calculation of a geometry-optimized NaCa4Rh structure, from Alexandria via LeMat-Bulk.

a = 6.4761 Å, b = 8.3642 Å, c = 8.3642 Å
α = 109.13°, β = 100.47°, γ = 100.47°
Fractional coordinates of all 12 atoms:
Rh1 0.2500 0.0001 0.9999
Rh2 0.7500 0.9999 0.0001
Na1 0.2500 0.3822 0.6178
Na2 0.7500 0.6178 0.3822
Ca1 0.4465 0.7345 0.0615
Ca2 0.5535 0.2655 0.9385
Ca3 0.9465 0.0615 0.7345
Ca4 0.6204 0.1738 0.3357
Ca5 0.1204 0.3357 0.1738
Ca6 0.3796 0.8262 0.6643
Ca7 0.8796 0.6643 0.8262
Ca8 0.0535 0.9385 0.2655

Computed properties:
For the formation enthalpy at 0 K, the calculation gives -0.193 eV per atom. The value obtained for the total magnetization is 0.00 μB per cell.